The following is a DFT calculation (PBE-GGA) of a geometry-optimized Tm2Tl8Ir structure.

a = 4.757 Å, b = 4.757 Å, c = 12.294 Å
α = 90.00°, β = 90.00°, γ = 90.00°
Atoms (fractional coordinates):
Tm 0.000 0.000 0.195
Tm 0.000 0.000 0.805
Tl 0.000 0.500 0.000
Tl 0.000 0.500 0.373
Tl 0.000 0.500 0.627
Tl 0.500 0.000 0.000
Tl 0.500 0.000 0.373
Tl 0.500 0.000 0.627
Tl 0.500 0.500 0.187
Tl 0.500 0.500 0.813
Ir 0.000 0.000 0.500

Properties
size of the total moment = 0.001 μB per atom
mass density = 12925 kg/m3
total energy = -3.40 eV per atom
SG = No. 123

***

The following is a DFT calculation (PBE-GGA) of a geometry-optimized PrHfNO structure.

a = 6.697 Å, b = 7.702 Å, c = 5.182 Å
α = 90.00°, β = 90.00°, γ = 90.00°
Atoms (fractional coordinates):
Pr 0.058 0.125 0.000
Pr 0.442 0.125 0.500
Pr 0.558 0.875 0.000
Pr 0.942 0.875 0.500
Hf 0.098 0.626 0.990
Hf 0.402 0.626 0.490
Hf 0.598 0.374 0.990
Hf 0.902 0.374 0.490
N 0.098 0.573 0.594
N 0.402 0.573 0.094
N 0.598 0.427 0.594
N 0.902 0.427 0.094
O 0.090 0.166 0.487
O 0.410 0.166 0.987
O 0.590 0.834 0.487
O 0.910 0.834 0.987

Properties
size of the total moment = 0.001 μB per atom
mass density = 8683 kg/m3
total energy = -9.00 eV per atom
energy above the most stable polymorph in this dataset = 0 meV/atom
SG = No. 29

***

The following is a DFT calculation (PBE-GGA) of a geometry-optimized BaTaAsO structure.

a = 3.890 Å, b = 6.859 Å, c = 7.228 Å
α = 90.00°, β = 90.00°, γ = 90.00°
Atoms (fractional coordinates):
Ba 0.000 0.210 0.000
Ba 0.000 0.790 0.500
Ta 0.500 0.255 0.464
Ta 0.500 0.745 0.964
As 0.500 0.481 0.730
As 0.500 0.519 0.230
O 0.000 0.185 0.450
O 0.000 0.815 0.950

Properties
size of the total moment = 0.001 μB per atom
mass density = 7047 kg/m3
total energy = -7.08 eV per atom
energy above the most stable polymorph in this dataset = 28 meV/atom
SG = No. 26